(1)
A relaxed structure of La2SiPb, computed with PBE.

- ΔE_f (raw): -466.7 meV/atom
- Crystal system: orthorhombic
- Polymorph energy (0 for the lowest one): 95 meV/atom

Cell lengths 7.1299, 8.8237, 3.6127 Å; angles 90.00, 90.00, 90.00 degrees
Closest atoms and distances in Å follow each position.
Space group Cmmm (No. 65)
Asymmetric unit:
La 0.2500 0.2500 0.0000 x4  4 Pb 3.36, 4 Si 3.36, 4 La 3.56-3.61
Si 0.0000 0.0000 0.5000 x2  8 La 3.36, 2 Pb 3.56, 2 Si 3.61
Pb 0.0000 0.5000 0.5000 x2  8 La 3.36, 2 Si 3.56, 2 Pb 3.61

***

(2)
A relaxed structure of Ba2TaBr, computed with PBE.

- ΔE_f (raw): 191.7 meV/atom
- Crystal system: tetragonal
- Polymorph energy (0 for the lowest one): 81 meV/atom

Cell lengths 6.1179, 6.1179, 3.5499 Å; angles 90.00, 90.00, 90.00 degrees
Closest atoms and distances in Å follow each position.
Space group P4/mmm (No. 123)
Asymmetric unit:
Ba 0.0000 0.5000 0.0000 x2  4 Br 3.54, 4 Ta 3.54, 2 Ba 3.55
Ta 0.0000 0.0000 0.5000 x1  8 Ba 3.54, 2 Ta 3.55
Br 0.5000 0.5000 0.5000 x1  8 Ba 3.54, 2 Br 3.55

***

(3)
A relaxed structure of CaSi2Pt, computed with PBE.

- ΔE_f (raw): -345.4 meV/atom
- Crystal system: tetragonal

Cell lengths 3.3489, 3.3489, 6.5675 Å; angles 90.00, 90.00, 90.00 degrees
Closest atoms and distances in Å follow each position.
Space group P4/mmm (No. 123)
Asymmetric unit:
Ca 0.0000 0.0000 0.0000 x1  8 Si 3.15, 2 Pt 3.28, 4 Ca 3.35
Si 0.5000 0.5000 0.3157 x2  1 Si 2.42, 4 Pt 2.66
Pt 0.0000 0.0000 0.5000 x1  8 Si 2.66

***

(4)
A relaxed structure of Sc4GaPdN, computed with PBE.

- ΔE_f (raw): -891.4 meV/atom
- Crystal system: orthorhombic

Cell lengths 6.1261, 13.8541, 6.1432 Å; angles 90.00, 90.00, 90.00 degrees
Closest atoms and distances in Å follow each position.
Space group Cmcm (No. 63)
Asymmetric unit:
Sc 0.0000 0.0771 0.2500 x4  1 N 2.42, 1 Pd 2.64
Sc 0.0000 0.4178 0.2500 x4  1 N 2.30
Sc 0.2500 0.2500 0.0000 x8  2 N 2.17
Ga 0.0000 0.3833 0.7500 x4  5 Sc 2.76-2.85
Pd 0.0000 0.1132 0.7500 x4  5 Sc 2.64-2.88
N 0.0000 0.2518 0.2500 x4  6 Sc 2.17-2.42

***

(5)
A relaxed structure of Ti3Ga2Cu4, computed with PBE.

- Crystal system: monoclinic
- Energy: -5.363 eV per atom

Cell lengths 9.1682, 4.2615, 7.8720 Å; angles 90.00, 123.85, 90.00 degrees
Closest atoms and distances in Å follow each position.
Space group C2/m (No. 12)
Asymmetric unit:
Ti 0.0000 0.0000 0.0000 x2  2 Ti 2.69, 8 Cu 2.81-2.82, 4 Ga 2.81
Ti 0.1668 0.5000 0.6709 x4  2 Ti 2.69-2.72, 8 Cu 2.78-2.84, 4 Ga 2.79-2.84
Ga 0.1104 0.5000 0.2775 x4  5 Cu 2.47-2.71
Cu 0.0550 0.0000 0.3896 x4  2 Cu 2.45-2.69, 3 Ga 2.47-2.71
Cu 0.2233 0.5000 0.0558 x4  3 Cu 2.46-2.69, 2 Ga 2.48-2.70

***

(6)
A relaxed structure of Tb3Dy6Er2In, computed with PBE.

- Crystal system: monoclinic
- Energy: -4.486 eV per atom

Cell lengths 6.0844, 10.5467, 11.5892 Å; angles 90.00, 100.15, 90.00 degrees
Closest atoms and distances in Å follow each position.
Space group C2/m (No. 12)
Asymmetric unit:
Tb 0.0000 0.0000 0.0000 x2  6 Tb 3.51-3.52, 6 Dy 3.53-3.54
Tb 0.0000 0.3330 0.0000 x4  6 Tb 3.51-3.52, 6 Dy 3.52-3.56
Dy 0.2458 0.3356 0.7455 x8  1 In 3.44, 6 Dy 3.47-3.54, 2 Er 3.47, 3 Tb 3.53-3.56
Dy 0.2473 0.5000 0.2529 x4  1 In 3.46, 6 Dy 3.47-3.54, 2 Er 3.48, 3 Tb 3.52-3.54
Er 0.0000 0.1660 0.5000 x4  6 Dy 3.47-3.48, 3 Er 3.50-3.52, 3 In 3.51-3.52
In 0.0000 0.5000 0.5000 x2  6 Dy 3.44-3.46, 6 Er 3.51-3.52

***

(7)
A relaxed structure of Ac2ZnPb, computed with PBE.

- Crystal system: monoclinic
- Energy: -3.687 eV per atom

Cell lengths 6.6719, 4.5835, 9.5196 Å; angles 90.00, 109.53, 90.00 degrees
Closest atoms and distances in Å follow each position.
Space group P2_1/m (No. 11)
Asymmetric unit:
Ac 0.1879 0.2500 0.4116 x2  3 Zn 3.35-3.62, 4 Pb 3.45-3.54
Ac 0.2737 0.7500 0.0539 x2  4 Zn 3.33-3.70, 3 Pb 3.52-3.60
Zn 0.1598 0.2500 0.7844 x2  2 Pb 2.93
Pb 0.3750 0.7500 0.7053 x2  2 Zn 2.93

***

(8)
A relaxed structure of CdInH6Rh2, computed with PBE.

- Crystal system: monoclinic
- Energy: -3.821 eV per atom

Cell lengths 8.1189, 11.0015, 5.9609 Å; angles 90.00, 125.18, 90.00 degrees
Closest atoms and distances in Å follow each position.
Space group C2/c (No. 15)
Asymmetric unit:
Cd 0.0000 0.0277 0.2500 x4  4 H 2.28-2.38
In 0.0000 0.3053 0.7500 x4  2 H 2.31
H 0.1150 0.1431 0.6313 x8  1 Rh 1.63, 1 H 1.83
H 0.1172 0.4359 0.4811 x8  3 Rh 1.83-1.99
H 0.1537 0.2851 0.2874 x8  1 Rh 1.58
Rh 0.1651 0.4220 0.2180 x8  2 H 1.58-1.63

***

(9)
A relaxed structure of ZnTc2Mo, computed with PBE.

- Crystal system: tetragonal
- Energy: -8.050 eV per atom

Cell lengths 3.7762, 3.7762, 8.2536 Å; angles 90.00, 90.00, 90.00 degrees
Closest atoms and distances in Å follow each position.
Space group I-4m2 (No. 119)
Asymmetric unit:
Zn 0.0000 0.0000 0.0000 x2  8 Tc 2.67-2.80, 4 Mo 2.80
Tc 0.0000 0.0000 0.5000 x2  4 Zn 2.67, 4 Mo 2.80, 4 Tc 2.80
Tc 0.0000 0.5000 0.2500 x2  4 Mo 2.67, 4 Tc 2.80, 4 Zn 2.80
Mo 0.0000 0.5000 0.7500 x2  8 Tc 2.67-2.80, 4 Zn 2.80

***

(10)
A relaxed structure of KLaIn, computed with PBE.

- Crystal system: tetragonal
- Polymorph energy (0 for the lowest one): 0 meV/atom

Cell lengths 3.8883, 3.8883, 16.2417 Å; angles 90.00, 90.00, 90.00 degrees
Closest atoms and distances in Å follow each position.
Space group I4mm (No. 107)
Asymmetric unit:
K 0.0000 0.0000 0.0000 x2  4 In 3.77, 4 K 3.89
La 0.0000 0.0000 0.7309 x2  4 In 3.28
In 0.0000 0.0000 0.3413 x2  4 La 3.28

***

(11)
A relaxed structure of Ca5SmTe6, computed with PBE.

- ΔE_f (raw): -1588.2 meV/atom
- Crystal system: monoclinic

Cell lengths 7.7932, 13.4933, 7.7970 Å; angles 90.00, 109.47, 90.00 degrees
Closest atoms and distances in Å follow each position.
Space group C2/m (No. 12)
Asymmetric unit:
Ca 0.0000 0.0000 0.0000 x2  6 Te 3.18-3.19
Ca 0.0000 0.1665 0.5000 x4  6 Te 3.18
Ca 0.0000 0.3329 0.0000 x4  6 Te 3.18-3.19
Sm 0.0000 0.5000 0.5000 x2  6 Te 3.17
Te 0.2490 0.3340 0.7492 x8  1 Sm 3.17, 5 Ca 3.18-3.19
Te 0.2486 0.5000 0.2505 x4  1 Sm 3.17, 5 Ca 3.18-3.19

***

(12)
A relaxed structure of Li2UReO8, computed with PBE.

- ΔE_f (raw): -2035.9 meV/atom
- Crystal system: orthorhombic

Cell lengths 6.6471, 6.8304, 6.4982 Å; angles 90.00, 90.00, 90.00 degrees
Closest atoms and distances in Å follow each position.
Space group Cmmm (No. 65)
Asymmetric unit:
Li 0.0000 0.0000 0.2226 x4  6 O 2.08-2.32
U 0.0000 0.5000 0.5000 x2  2 O 1.87
Re 0.0000 0.5000 0.0000 x2  6 O 1.84-1.93
O 0.0000 0.3122 0.2215 x8  1 Re 1.93, 1 Li 2.13
O 0.2191 0.0000 0.5000 x4  1 U 1.87
O 0.2239 0.0000 0.0000 x4  1 Re 1.84